Entry 1:
Sm3TlCBr: optimized geometry, PBE.

Unit cell a=8.3193 b=3.8611 c=9.8755 alpha=90.00 beta=94.84 gamma=90.00
Fractional positions:
Sm  0.0491  0.2500  0.2064
Sm  0.1705  0.7500  0.5125
Sm  0.3335  0.2500  0.7894
Sm  0.6665  0.7500  0.2106
Sm  0.8295  0.2500  0.4875
Sm  0.9509  0.7500  0.7936
Tl  0.4306  0.2500  0.3760
Tl  0.5694  0.7500  0.6240
C  0.0674  0.2500  0.6761
C  0.9326  0.7500  0.3239
Br  0.2482  0.7500  0.0133
Br  0.7518  0.2500  0.9867

Summary:
Raw formation energy = -0.650 eV per atom
Symmetry = P2_1/m, No. 11

Entry 2:
CsCd2In4Ga: optimized geometry, PBE.

Unit cell a=11.3273 b=11.3273 c=11.3273 alpha=26.46 beta=26.46 gamma=26.46
Fractional positions:
Cs  0.0000  0.0000  0.0000
Cd  0.2348  0.2348  0.2348
Cd  0.7652  0.7652  0.7652
In  0.1355  0.1355  0.1355
In  0.4139  0.4139  0.4139
In  0.5861  0.5861  0.5861
In  0.8645  0.8645  0.8645
Ga  0.5000  0.5000  0.5000

Summary:
Energy relative to the elements = -0.04 eV/atom
Symmetry = R-3m, No. 166

Entry 3:
PmEuMgIr: optimized geometry, PBE.

Unit cell a=5.1598 b=5.1598 c=5.1598 alpha=60.00 beta=60.00 gamma=60.00
Fractional positions:
Pm  0.0000  0.0000  0.0000
Eu  0.5000  0.5000  0.5000
Mg  0.7500  0.7500  0.7500
Ir  0.2500  0.2500  0.2500

Summary:
Energy relative to the elements = -0.24 eV/atom
Symmetry = F-43m, No. 216

Entry 4:
K2CuHBr: optimized geometry, PBE.

Unit cell a=6.2988 b=6.2988 c=4.8962 alpha=90.00 beta=90.00 gamma=90.00
Fractional positions:
K  0.0000  0.5000  0.0000
K  0.5000  0.0000  0.0000
Cu  0.0000  0.0000  0.5000
H  0.5000  0.5000  0.5000
Br  0.0000  0.0000  0.0000

Summary:
Symmetry = P4/mmm, No. 123

Number 1: total moment 0.000 μB per formula unit, E_tot -5.220 eV per atom. Number 2: total moment 0.000 μB per formula unit, E_tot -2.121 eV per atom. Number 3: total moment 6.851 μB per formula unit, E_tot -6.610 eV per atom. Number 4: total moment 0.000 μB per formula unit, E_tot -2.322 eV per atom.